A relaxed structure of MnPtF2. Source: Alexandria, functional GGA+U.

Crystal system: cubic
Energy relative to the lowest polymorph listed for this composition: 253 meV per atom
E_tot: -4.96 eV per atom

Cell lengths 5.991, 5.991, 5.991 Å; angles 90.00, 90.00, 90.00 degrees
Space group Fm-3m (No. 225)
Asymmetric unit:
Mn  0.000  0.000  0.000
Pt  0.000  0.000  0.500
F  0.250  0.250  0.250